Density functional theory data (PBE-GGA) for a relaxed structure of AgHgTeS.

Values from the calculation:
Calculated volume in Å³ per atom: 29.05
Formation energy without anion corrections in eV per atom: -0.020
E in eV/atom: -2.6259
Total magnetic moment in μB/atom: 0.00
Space-group type: R3m
D(E_F) in states/eV/cell: 2.012

a b c (Å): 7.8791 7.8791 7.8791
angles (deg): 31.16 31.16 31.16
Element x y z (fractional)
Ag 0.0000 0.0000 0.0000
Hg 0.4840 0.4840 0.4840
Te 0.6111 0.6111 0.6111
S 0.1106 0.1106 0.1106